Here is Dy6TmHg5 after structural relaxation from Alexandria. Energies are from PBE-GGA.

a = 9.212 Å, b = 9.212 Å, c = 9.212 Å
α = 147.63°, β = 129.78°, γ = 61.03°
Atoms (fractional coordinates):
Dy: 0.074 0.328 0.746
Dy: 0.224 0.000 0.224
Dy: 0.417 0.672 0.746
Dy: 0.583 0.328 0.254
Dy: 0.776 0.000 0.776
Dy: 0.926 0.672 0.254
Tm: 0.500 0.500 0.000
Hg: 0.000 0.500 0.500
Hg: 0.172 0.172 0.000
Hg: 0.356 0.856 0.500
Hg: 0.644 0.144 0.500
Hg: 0.828 0.828 0.000

Summary:
- D(E_F) (states/eV per cell) = 13.78
- spin magnetization (μB per formula unit) = 0.09
- formation energy from the elements (meV/atom) = -350
- SG = Immm, No. 71